1.
DyBeSi: relaxed, PBE.

Mass density, g cm⁻³: 5.9
Space-group type: Cmmm
Formation energy (no corrections), eV/atom: 0.1156

Cell: 5.7703 5.7703 3.5397 Å, 90.00 90.00 106.40°
Fractional positions:
Dy (0.2126, 0.7874, 0.0000)
Dy (0.7874, 0.2126, 0.0000)
Be (0.0000, 0.0000, 0.5000)
Be (0.5000, 0.5000, 0.0000)
Si (0.3029, 0.3029, 0.5000)
Si (0.6971, 0.6971, 0.5000)

***

2.
Dy2BeSi: relaxed, PBE.

Mass density, g cm⁻³: 5.8
Space-group type: R-3m
Formation energy (no corrections), eV/atom: 0.5365

Cell: 9.9892 9.9892 9.9892 Å, 20.25 20.25 20.25°
Fractional positions:
Dy (0.0988, 0.0988, 0.0988)
Dy (0.9012, 0.9012, 0.9012)
Be (0.0000, 0.0000, 0.0000)
Si (0.5000, 0.5000, 0.5000)

***

3.
Dy2BeSi3: relaxed, PBE.

Mass density, g cm⁻³: 6.5
Space-group type: Fmmm
Relative energy among the computed polymorphs, eV per atom: 0.000
Formation energy (no corrections), eV/atom: -0.6847

Cell: 7.8879 7.8452 5.6116 Å, 69.51 68.70 41.79°
Fractional positions:
Dy (0.2457, 0.7543, 0.2457)
Dy (0.2500, 0.2500, 0.2500)
Dy (0.7500, 0.7500, 0.7500)
Dy (0.7543, 0.2457, 0.7543)
Be (0.3336, 0.3336, 0.6664)
Be (0.6664, 0.6664, 0.3336)
Si (0.1725, 0.1725, 0.8275)
Si (0.1752, 0.6528, 0.8248)
Si (0.3472, 0.8248, 0.6528)
Si (0.6528, 0.1752, 0.3472)
Si (0.8248, 0.3472, 0.1752)
Si (0.8275, 0.8275, 0.1725)

***

4.
DyBe2Si2Tc: relaxed, PBE.

Mass density, g cm⁻³: 6.5
Space-group type: P-3m1
Formation energy (no corrections), eV/atom: -0.4115

Cell: 3.8856 3.8856 6.5621 Å, 90.00 90.00 120.00°
Fractional positions:
Dy (0.0000, 0.0000, 0.0000)
Be (0.3333, 0.6667, 0.3288)
Be (0.6667, 0.3333, 0.6712)
Si (0.3333, 0.6667, 0.7120)
Si (0.6667, 0.3333, 0.2880)
Tc (0.0000, 0.0000, 0.5000)

***

5.
Dy2Be4Si3Tc: relaxed, PBE.

Mass density, g cm⁻³: 6.3
Space-group type: P-4m2
Formation energy (no corrections), eV/atom: -0.3920

Cell: 3.7902 3.7902 10.0458 Å, 90.00 90.00 90.00°
Fractional positions:
Dy (0.0000, 0.5000, 0.2427)
Dy (0.5000, 0.0000, 0.7573)
Be (0.0000, 0.0000, 0.0000)
Be (0.0000, 0.5000, 0.6405)
Be (0.5000, 0.0000, 0.3595)
Be (0.5000, 0.5000, 0.0000)
Si (0.0000, 0.5000, 0.8695)
Si (0.5000, 0.0000, 0.1305)
Si (0.5000, 0.5000, 0.5000)
Tc (0.0000, 0.0000, 0.5000)

***

6.
DyThBe2Si2: relaxed, PBE.

Mass density, g cm⁻³: 7.1
Space-group type: P-3m1
Formation energy (no corrections), eV/atom: -0.6522

Cell: 3.9041 3.9041 8.2792 Å, 90.00 90.00 120.00°
Fractional positions:
Dy (0.0000, 0.0000, 0.0000)
Th (0.0000, 0.0000, 0.5000)
Be (0.3333, 0.6667, 0.2429)
Be (0.6667, 0.3333, 0.7571)
Si (0.3333, 0.6667, 0.7593)
Si (0.6667, 0.3333, 0.2407)

***

7.
SmDyBe: relaxed, PBE.

Mass density, g cm⁻³: 7.2
Space-group type: I4mm
Energy relative to the elements, eV per atom: 0.1094

Cell: 6.5229 6.5229 6.5229 Å, 148.82 148.82 44.68°
Fractional positions:
Sm (0.0000, 0.0000, 0.0000)
Dy (0.7289, 0.7289, 0.0000)
Be (0.3577, 0.3577, 0.0000)

***

8.
SmDyBeZn: relaxed, PBE.

Mass density, g cm⁻³: 7.3
Space-group type: F-43m
Energy relative to the elements, eV per atom: -0.0798

Cell: 4.9927 4.9927 4.9927 Å, 60.00 60.00 60.00°
Fractional positions:
Sm (0.0000, 0.0000, 0.0000)
Dy (0.5000, 0.5000, 0.5000)
Be (0.2500, 0.2500, 0.2500)
Zn (0.7500, 0.7500, 0.7500)

***

9.
DyTaBe17: relaxed, PBE.

Mass density, g cm⁻³: 4.6
Space-group type: R3m
Energy relative to the elements, eV per atom: -0.1581

Cell: 5.6774 5.6774 5.6774 Å, 82.90 82.90 82.90°
Fractional positions:
Dy (0.0000, 0.0000, 0.0000)
Ta (0.6738, 0.6738, 0.6738)
Be (0.0502, 0.3415, 0.6230)
Be (0.0502, 0.6230, 0.3415)
Be (0.1823, 0.6782, 0.6782)
Be (0.2462, 0.2462, 0.2462)
Be (0.3415, 0.0502, 0.6230)
Be (0.3415, 0.6230, 0.0502)
Be (0.3429, 0.3429, 0.8364)
Be (0.3429, 0.8364, 0.3429)
Be (0.4379, 0.4379, 0.4379)
Be (0.5003, 0.9922, 0.9922)
Be (0.6230, 0.0502, 0.3415)
Be (0.6230, 0.3415, 0.0502)
Be (0.6782, 0.1823, 0.6782)
Be (0.6782, 0.6782, 0.1823)
Be (0.8364, 0.3429, 0.3429)
Be (0.9922, 0.5003, 0.9922)
Be (0.9922, 0.9922, 0.5003)

***

10.
Tb2DyBe: relaxed, PBE.

Mass density, g cm⁻³: 7.8
Space-group type: P4/mmm
Relative energy among the computed polymorphs, eV per atom: 0.000
Energy relative to the elements, eV per atom: 0.0784

Cell: 3.4840 3.4840 8.5402 Å, 90.00 90.00 90.00°
Fractional positions:
Tb (0.0000, 0.0000, 0.1942)
Tb (0.0000, 0.0000, 0.8058)
Dy (0.5000, 0.5000, 0.5000)
Be (0.5000, 0.5000, 0.0000)

***

11.
Tb2DyBe: relaxed, PBE.

Mass density, g cm⁻³: 7.0
Space-group type: R-3m
Relative energy among the computed polymorphs, eV per atom: 0.604
Energy relative to the elements, eV per atom: 0.6827

Cell: 11.5931 11.5931 11.5931 Å, 17.02 17.02 17.02°
Fractional positions:
Tb (0.0844, 0.0844, 0.0844)
Tb (0.9156, 0.9156, 0.9156)
Dy (0.5000, 0.5000, 0.5000)
Be (0.0000, 0.0000, 0.0000)

***

12.
TbDyBe: relaxed, PBE.

Mass density, g cm⁻³: 7.6
Space-group type: I4mm
Energy relative to the elements, eV per atom: 0.0907

Cell: 6.4762 6.4762 6.4762 Å, 148.91 148.91 44.54°
Fractional positions:
Tb (0.0000, 0.0000, 0.0000)
Dy (0.2713, 0.2713, 0.0000)
Be (0.6371, 0.6371, 0.0000)

***

13.
TbDy2Be: relaxed, PBE.

Mass density, g cm⁻³: 8.0
Space-group type: P4/mmm
Relative energy among the computed polymorphs, eV per atom: 0.000
Energy relative to the elements, eV per atom: 0.0717

Cell: 3.4675 3.4675 8.5488 Å, 90.00 90.00 90.00°
Fractional positions:
Tb (0.0000, 0.0000, 0.0000)
Dy (0.5000, 0.5000, 0.3062)
Dy (0.5000, 0.5000, 0.6938)
Be (0.0000, 0.0000, 0.5000)

***

14.
TbDy2Be: relaxed, PBE.

Mass density, g cm⁻³: 7.1
Space-group type: R-3m
Relative energy among the computed polymorphs, eV per atom: 0.614
Energy relative to the elements, eV per atom: 0.6861

Cell: 11.5656 11.5656 11.5656 Å, 17.05 17.05 17.05°
Fractional positions:
Tb (0.0000, 0.0000, 0.0000)
Dy (0.4158, 0.4158, 0.4158)
Dy (0.5842, 0.5842, 0.5842)
Be (0.5000, 0.5000, 0.5000)

***

15.
TbDyBeZn: relaxed, PBE.

Mass density, g cm⁻³: 7.7
Space-group type: F-43m
Energy relative to the elements, eV per atom: -0.1017

Cell: 4.9524 4.9524 4.9524 Å, 60.00 60.00 60.00°
Fractional positions:
Tb (0.0000, 0.0000, 0.0000)
Dy (0.5000, 0.5000, 0.5000)
Be (0.2500, 0.2500, 0.2500)
Zn (0.7500, 0.7500, 0.7500)

***

16.
DyBe17Tc: relaxed, PBE.

Mass density, g cm⁻³: 3.9
Space-group type: R3m
Energy relative to the elements, eV per atom: -0.1116

Cell: 5.6414 5.6414 5.6414 Å, 83.00 83.00 83.00°
Fractional positions:
Dy (0.0000, 0.0000, 0.0000)
Be (0.0104, 0.0104, 0.4946)
Be (0.0104, 0.4946, 0.0104)
Be (0.1591, 0.6605, 0.6605)
Be (0.3213, 0.3213, 0.8068)
Be (0.3213, 0.8068, 0.3213)
Be (0.3729, 0.6533, 0.9554)
Be (0.3729, 0.9554, 0.6533)
Be (0.4946, 0.0104, 0.0104)
Be (0.5584, 0.5584, 0.5584)
Be (0.6533, 0.3729, 0.9554)
Be (0.6533, 0.9554, 0.3729)
Be (0.6605, 0.1591, 0.6605)
Be (0.6605, 0.6605, 0.1591)
Be (0.7513, 0.7513, 0.7513)
Be (0.8068, 0.3213, 0.3213)
Be (0.9554, 0.3729, 0.6533)
Be (0.9554, 0.6533, 0.3729)
Tc (0.3296, 0.3296, 0.3296)

***

17.
DyBeTc: relaxed, PBE.

Mass density, g cm⁻³: 8.3
Space-group type: P4/nmm
Energy relative to the elements, eV per atom: -0.0678

Cell: 4.3694 4.3694 5.6347 Å, 90.00 90.00 90.00°
Fractional positions:
Dy (0.2500, 0.2500, 0.1624)
Dy (0.7500, 0.7500, 0.8376)
Be (0.2500, 0.2500, 0.6458)
Be (0.7500, 0.7500, 0.3542)
Tc (0.2500, 0.7500, 0.5000)
Tc (0.7500, 0.2500, 0.5000)

***

18.
DyBe4Tc: relaxed, PBE.

Mass density, g cm⁻³: 6.7
Space-group type: F-43m
Energy relative to the elements, eV per atom: -0.0379

Cell: 4.7036 4.7036 4.7036 Å, 60.00 60.00 60.00°
Fractional positions:
Dy (0.0000, 0.0000, 0.0000)
Be (0.3783, 0.3783, 0.3783)
Be (0.3783, 0.3783, 0.8650)
Be (0.3783, 0.8650, 0.3783)
Be (0.8650, 0.3783, 0.3783)
Tc (0.7500, 0.7500, 0.7500)

***

19.
DyZrBeTc: relaxed, PBE.

Mass density, g cm⁻³: 8.0
Space-group type: F-43m
Energy relative to the elements, eV per atom: -0.0249

Cell: 4.7249 4.7249 4.7249 Å, 60.00 60.00 60.00°
Fractional positions:
Dy (0.0000, 0.0000, 0.0000)
Zr (0.5000, 0.5000, 0.5000)
Be (0.2500, 0.2500, 0.2500)
Tc (0.7500, 0.7500, 0.7500)

***

20.
DyBeTe2: relaxed, PBE.

Mass density, g cm⁻³: 6.4
Space-group type: R-3m
Formation energy (no corrections), eV/atom: -0.0588

Cell: 9.2565 9.2565 9.2565 Å, 23.53 23.53 23.53°
Fractional positions:
Dy (0.0000, 0.0000, 0.0000)
Be (0.5000, 0.5000, 0.5000)
Te (0.1118, 0.1118, 0.1118)
Te (0.8882, 0.8882, 0.8882)

***

21.
DyThBe: relaxed, PBE.

Mass density, g cm⁻³: 9.1
Space-group type: I4mm
Relative energy among the computed polymorphs, eV per atom: 0.010
Energy relative to the elements, eV per atom: 0.1541

Cell: 6.5940 6.5940 6.5940 Å, 149.55 149.55 43.60°
Fractional positions:
Dy (0.0000, 0.0000, 0.0000)
Th (0.2824, 0.2824, 0.0000)
Be (0.6365, 0.6365, 0.0000)

***

22.
DyThBe: relaxed, PBE.

Mass density, g cm⁻³: 9.3
Space-group type: Fmmm
Relative energy among the computed polymorphs, eV per atom: 0.000
Energy relative to the elements, eV per atom: 0.1444

Cell: 7.3554 5.8933 5.7899 Å, 78.03 51.61 50.36°
Fractional positions:
Dy (0.1588, 0.1588, 0.8412)
Dy (0.8412, 0.8412, 0.1588)
Th (0.3379, 0.6621, 0.3379)
Th (0.6621, 0.3379, 0.6621)
Be (0.2500, 0.2500, 0.2500)
Be (0.7500, 0.7500, 0.7500)

***

23.
DyTiBe: relaxed, PBE.

Mass density, g cm⁻³: 6.3
Space-group type: P4/nmm
Energy relative to the elements, eV per atom: 0.0376

Cell: 4.2534 4.2534 6.3478 Å, 90.00 90.00 90.00°
Fractional positions:
Dy (0.2500, 0.2500, 0.1426)
Dy (0.7500, 0.7500, 0.8574)
Ti (0.2500, 0.7500, 0.5000)
Ti (0.7500, 0.2500, 0.5000)
Be (0.2500, 0.2500, 0.7045)
Be (0.7500, 0.7500, 0.2955)

***

24.
DyTiBe2: relaxed, PBE.

Mass density, g cm⁻³: 6.0
Space-group type: P4/mmm
Energy relative to the elements, eV per atom: 0.0188

Cell: 3.1703 3.1703 6.2943 Å, 90.00 90.00 90.00°
Fractional positions:
Dy (0.0000, 0.0000, 0.0000)
Ti (0.0000, 0.0000, 0.5000)
Be (0.5000, 0.5000, 0.3075)
Be (0.5000, 0.5000, 0.6925)

***

25.
Dy2BeTl: relaxed, PBE.

Mass density, g cm⁻³: 9.5
Space-group type: P4/mmm
Energy relative to the elements, eV per atom: -0.1221

Cell: 3.5509 3.5509 7.4281 Å, 90.00 90.00 90.00°
Fractional positions:
Dy (0.0000, 0.0000, 0.2178)
Dy (0.0000, 0.0000, 0.7822)
Be (0.5000, 0.5000, 0.0000)
Tl (0.5000, 0.5000, 0.5000)

***

26.
DyTmBe2: relaxed, PBE.

Mass density, g cm⁻³: 7.5
Space-group type: Fm-3m
Relative energy among the computed polymorphs, eV per atom: 0.000
Energy relative to the elements, eV per atom: 0.0849

Cell: 4.7870 4.7870 4.7870 Å, 60.00 60.00 60.00°
Fractional positions:
Dy (0.0000, 0.0000, 0.0000)
Tm (0.5000, 0.5000, 0.5000)
Be (0.2500, 0.2500, 0.2500)
Be (0.7500, 0.7500, 0.7500)

***

27.
DyTm2Be: relaxed, PBE.

Mass density, g cm⁻³: 8.5
Space-group type: P4/mmm
Relative energy among the computed polymorphs, eV per atom: 0.000
Energy relative to the elements, eV per atom: 0.0563

Cell: 3.4184 3.4184 8.5084 Å, 90.00 90.00 90.00°
Fractional positions:
Dy (0.0000, 0.0000, 0.0000)
Tm (0.5000, 0.5000, 0.3074)
Tm (0.5000, 0.5000, 0.6926)
Be (0.0000, 0.0000, 0.5000)